1.
The following is a GGA-PBE calculation of a relaxed CaLa3Pr2 crystal, from the Alexandria database.

a = 3.6163 Å, b = 10.2826 Å, c = 12.9265 Å
α = 103.63°, β = 73.69°, γ = 90.00°
Last column: nearest neighbours and their distance in Å.
Fractional coordinates of all 12 atoms:
Pr 0.3924 0.0356 0.8575  4 Pr 3.62-3.81, 3 Ca 3.65-3.83, 4 La 3.79-3.85
Pr 0.1322 0.6322 0.1185  1 La 3.51, 3 Ca 3.58-3.77, 6 Pr 3.62-3.93
Pr 0.6076 0.9644 0.1425  4 Pr 3.62-3.81, 3 Ca 3.65-3.83, 4 La 3.79-3.85
Pr 0.8678 0.3678 0.8815  1 La 3.51, 3 Ca 3.58-3.77, 6 Pr 3.62-3.93
La 0.8711 0.8641 0.3788  7 La 3.50-3.83, 3 Pr 3.51-3.80
La 0.1289 0.1359 0.6212  7 La 3.50-3.83, 3 Pr 3.51-3.80
La 0.3806 0.5328 0.3687  9 La 3.54-3.93, 2 Ca 3.89-3.90, 2 Pr 3.94
La 0.6194 0.4672 0.6313  9 La 3.54-3.93, 2 Ca 3.89-3.90, 2 Pr 3.94
La 0.1356 0.7939 0.6151  8 La 3.50-3.86, 1 Ca 3.53, 2 Pr 3.85
La 0.8644 0.2061 0.3849  8 La 3.50-3.86, 1 Ca 3.53, 2 Pr 3.85
Ca 0.8758 0.7146 0.8767  3 La 3.53-3.90, 6 Pr 3.58-3.83, 2 Ca 3.62
Ca 0.1242 0.2854 0.1233  3 La 3.53-3.90, 6 Pr 3.58-3.83, 2 Ca 3.62

Properties
- Magnetic moment: 0.000 μB/atom
- Calculated total energy: -4.33 eV per atom
- Formation energy: 0.059 eV per atom
- Space group: No. 2

2.
The following is a GGA-PBE calculation of a relaxed InNi crystal, from the Alexandria database.

a = 4.5118 Å, b = 4.5118 Å, c = 4.5118 Å
α = 59.98°, β = 59.98°, γ = 59.98°
Last column: nearest neighbours and their distance in Å.
Fractional coordinates of all 4 atoms:
In 0.3750 0.3750 0.3750  4 Ni 2.76, 4 In 2.76
In 0.6250 0.6250 0.6250  4 Ni 2.76, 4 In 2.76
Ni 0.8751 0.8751 0.8751  4 Ni 2.76, 4 In 2.76
Ni 0.1249 0.1249 0.1249  4 Ni 2.76, 4 In 2.76

Properties
- Magnetic moment: 0.000 μB/atom
- Calculated total energy: -4.06 eV per atom
- Formation energy: 0.203 eV per atom
- Space group: No. 227

3.
The following is a GGA-PBE calculation of a relaxed TbBrCl2 crystal, from the Alexandria database.

a = 7.0385 Å, b = 7.0385 Å, c = 7.6341 Å
α = 108.56°, β = 108.56°, γ = 112.74°
Last column: nearest neighbours and their distance in Å.
Fractional coordinates of all 8 atoms:
Cl 0.0470 0.6801 0.7085  2 Tb 2.67
Cl 0.2653 0.2649 0.1594  2 Tb 2.67
Cl 0.6801 0.0470 0.2085  2 Tb 2.67
Cl 0.2649 0.2653 0.6594  2 Tb 2.67
Br 0.5501 0.8846 0.6289  2 Tb 2.83
Br 0.8846 0.5501 0.1289  2 Tb 2.83
Tb 0.1190 0.4368 0.4169  4 Cl 2.67, 2 Br 2.83
Tb 0.4368 0.1190 0.9169  4 Cl 2.67, 2 Br 2.83

Properties
- Magnetic moment: 0.000 μB/atom
- Calculated total energy: -4.63 eV per atom
- E above lowest polymorph: 0 meV per atom
- Raw formation energy: -205.71 kJ/mol of atoms
- Space group: No. 9

4.
The following is a GGA-PBE calculation of a relaxed Sc2MoOs crystal, from the Alexandria database.

a = 3.1456 Å, b = 3.1456 Å, c = 7.1609 Å
α = 90.00°, β = 90.00°, γ = 90.00°
Last column: nearest neighbours and their distance in Å.
Fractional coordinates of all 4 atoms:
Sc 0.0000 0.0000 0.5253  4 Os 2.75, 4 Mo 2.97
Sc 0.0000 0.0000 0.9747  4 Os 2.75, 4 Mo 2.97
Os 0.5000 0.5000 0.7500  8 Sc 2.75
Mo 0.5000 0.5000 0.2500  8 Sc 2.97, 4 Mo 3.15

Properties
- Magnetic moment: 0.000 μB/atom
- Calculated total energy: -8.70 eV per atom
- Formation energy: -0.017 eV per atom
- Space group: No. 123

5.
The following is a GGA-PBE calculation of a relaxed Sc2CdI crystal, from the Alexandria database.

a = 10.0806 Å, b = 10.0806 Å, c = 10.0806 Å
α = 21.09°, β = 21.09°, γ = 21.09°
Last column: nearest neighbours and their distance in Å.
Fractional coordinates of all 4 atoms:
Cd 0.5000 0.5000 0.5000  6 Sc 3.03
Sc 0.9063 0.9063 0.9063  1 I 2.77, 3 Cd 3.03
Sc 0.0937 0.0937 0.0937  1 I 2.77, 3 Cd 3.03
I 0.0000 0.0000 0.0000  2 Sc 2.77

Properties
- Magnetic moment: 0.319 μB/atom
- Calculated total energy: -3.87 eV per atom
- E above lowest polymorph: 23 meV per atom
- Raw formation energy: -8.95 kJ/mol of atoms
- Space group: No. 166

6.
The following is a GGA-PBE calculation of a relaxed InHg3I9 crystal, from the Alexandria database.

a = 10.4815 Å, b = 11.5808 Å, c = 12.4413 Å
α = 75.49°, β = 65.09°, γ = 63.09°
Last column: nearest neighbours and their distance in Å.
Fractional coordinates of all 26 atoms:
In 0.0061 0.5189 0.0091  4 I 2.84-2.96
In 0.4658 0.0189 0.5091  4 I 2.84-2.96
Hg 0.5753 0.2454 0.7392  4 I 2.77-2.96
Hg 0.9379 0.0785 0.1746  4 I 2.78-3.02
Hg 0.2487 0.4300 0.3272  4 I 2.82-2.96
Hg 0.8091 0.5785 0.6746  4 I 2.78-3.02
Hg 0.9940 0.9300 0.8272  4 I 2.82-2.96
Hg 0.4401 0.7454 0.2392  4 I 2.77-2.96
I 0.3179 0.1639 0.3320  1 Hg 2.82, 1 In 2.96
I 0.8170 0.9872 0.6860  2 Hg 2.83-2.92
I 0.9348 0.4166 0.8664  1 In 2.84, 1 Hg 3.02
I 0.2450 0.8835 0.0999  2 Hg 2.88-2.89
I 0.0233 0.5870 0.2084  1 In 2.88, 1 Hg 2.96
I 0.7715 0.3835 0.5999  2 Hg 2.88-2.89
I 0.7822 0.9166 0.3664  1 In 2.84, 1 Hg 3.02
I 0.5452 0.8055 0.7184  1 Hg 2.78
I 0.4150 0.7868 0.4588  1 Hg 2.77
I 0.3395 0.2868 0.9588  1 Hg 2.77
I 0.4810 0.2554 0.5422  1 In 2.95, 1 Hg 2.96
I 0.5098 0.4872 0.1860  2 Hg 2.83-2.92
I 0.0933 0.5985 0.5158  2 Hg 2.86-2.88
I 0.9309 0.3055 0.2184  1 Hg 2.78
I 0.1862 0.6639 0.8320  1 Hg 2.82, 1 In 2.96
I 0.1814 0.0870 0.7084  1 In 2.88, 1 Hg 2.96
I 0.7213 0.7554 0.0422  1 In 2.95, 1 Hg 2.96
I 0.7923 0.0985 0.0158  2 Hg 2.86-2.88

Properties
- Magnetic moment: 0.000 μB/atom
- Calculated total energy: -1.64 eV per atom
- Raw formation energy: -28.06 kJ/mol of atoms
- Space group: No. 9

7.
The following is a GGA-PBE calculation of a relaxed Pm2Pu3ThSe6 crystal, from the Alexandria database.

a = 4.1434 Å, b = 8.3822 Å, c = 9.3296 Å
α = 103.35°, β = 102.83°, γ = 90.00°
Last column: nearest neighbours and their distance in Å.
Fractional coordinates of all 12 atoms:
Pm 0.1663 0.3328 0.3327  6 Se 2.96-2.97
Pm 0.8337 0.6672 0.6673  6 Se 2.96-2.97
Se 0.6659 0.5866 0.3318  3 Pu 2.93, 3 Pm 2.97
Se 0.6688 0.0811 0.3376  3 Pu 2.91-2.92, 2 Pm 2.96, 1 Th 2.98
Se 0.9987 0.2555 0.9974  3 Pu 2.91-2.92, 1 Pm 2.96, 2 Th 2.98
Se 0.0013 0.7445 0.0026  3 Pu 2.91-2.92, 1 Pm 2.96, 2 Th 2.98
Se 0.3341 0.4134 0.6682  3 Pu 2.93, 3 Pm 2.97
Se 0.3312 0.9189 0.6624  3 Pu 2.91-2.92, 2 Pm 2.96, 1 Th 2.98
Th 0.5000 0.0000 0.0000  6 Se 2.98
Pu 0.1664 0.8339 0.3328  6 Se 2.91-2.93
Pu 0.8336 0.1661 0.6672  6 Se 2.91-2.93
Pu 0.5000 0.5000 0.0000  6 Se 2.91-2.93

Properties
- Magnetic moment: 1.438 μB/atom
- Calculated total energy: -8.39 eV per atom
- Raw formation energy: -159.29 kJ/mol of atoms
- Space group: No. 12

8.
The following is a GGA-PBE calculation of a relaxed Na4VIr3S8 crystal, from the Alexandria database.

a = 7.3093 Å, b = 7.5968 Å, c = 7.3100 Å
α = 118.78°, β = 120.00°, γ = 90.00°
Last column: nearest neighbours and their distance in Å.
Fractional coordinates of all 16 atoms:
S 0.2742 0.3071 0.0406  2 Ir 2.42, 1 V 2.46
S 0.7664 0.3071 0.5328  2 Ir 2.42, 1 V 2.46
S 0.2336 0.6929 0.4672  2 Ir 2.42, 1 V 2.46
S 0.7664 0.3071 0.0406  2 Ir 2.42, 1 V 2.46
S 0.2336 0.6929 0.9594  2 Ir 2.42, 1 V 2.46
S 0.7275 0.6824 0.4550  3 Ir 2.40
S 0.2725 0.3176 0.5450  3 Ir 2.40
S 0.7258 0.6929 0.9594  2 Ir 2.42, 1 V 2.46
Na 0.5000 0.0000 0.0000  6 S 2.84
Na 0.0000 0.0000 0.0000  6 S 2.88-2.91
Na 0.5000 0.0000 0.5000  6 S 2.88-2.91
Na 0.0000 0.0000 0.5000  6 S 2.88-2.91
Ir 0.5000 0.5000 0.0000  6 S 2.40-2.42
Ir 0.0000 0.5000 0.5000  6 S 2.40-2.42
Ir 0.5000 0.5000 0.5000  6 S 2.40-2.42
V 0.0000 0.5000 0.0000  6 S 2.46

Properties
- Magnetic moment: 0.123 μB/atom
- Calculated total energy: -5.36 eV per atom
- Raw formation energy: -70.57 kJ/mol of atoms
- Space group: No. 166

9.
The following is a GGA-PBE calculation of a relaxed PmNdCuPt crystal, from the Alexandria database.

a = 5.0791 Å, b = 5.0791 Å, c = 5.0791 Å
α = 60.00°, β = 60.00°, γ = 60.00°
Last column: nearest neighbours and their distance in Å.
Fractional coordinates of all 4 atoms:
Pt 0.7500 0.7500 0.7500  4 Pm 3.11, 4 Nd 3.11
Nd 0.5000 0.5000 0.5000  4 Pt 3.11, 4 Cu 3.11
Cu 0.2500 0.2500 0.2500  4 Nd 3.11, 4 Pm 3.11
Pm 0.0000 0.0000 0.0000  4 Cu 3.11, 4 Pt 3.11

Properties
- Magnetic moment: 0.000 μB/atom
- Calculated total energy: -5.55 eV per atom
- E above lowest polymorph: 63 meV per atom
- Formation energy: -0.633 eV per atom
- Space group: No. 216

10.
The following is a GGA-PBE calculation of a relaxed CaMnGe2Rh crystal, from the Alexandria database.

a = 4.0818 Å, b = 4.0818 Å, c = 6.1204 Å
α = 109.48°, β = 109.48°, γ = 90.00°
Last column: nearest neighbours and their distance in Å.
Fractional coordinates of all 5 atoms:
Ge 0.6209 0.6209 0.2418  2 Mn 2.47, 2 Rh 2.47, 1 Ge 2.61
Ge 0.3791 0.3791 0.7582  2 Mn 2.47, 2 Rh 2.47, 1 Ge 2.61
Mn 0.2500 0.7500 0.5000  4 Ge 2.47
Ca 0.0000 0.0000 0.0000  8 Ge 3.17, 4 Mn 3.38, 4 Rh 3.38
Rh 0.7500 0.2500 0.5000  4 Ge 2.47

Properties
- Magnetic moment: 0.521 μB/atom
- Calculated total energy: -6.12 eV per atom
- Formation energy: -0.570 eV per atom
- Space group: No. 119

11.
The following is a GGA-PBE calculation of a relaxed HoAu2Br6 crystal, from the Alexandria database.

a = 7.7699 Å, b = 9.7153 Å, c = 9.7153 Å
α = 89.41°, β = 75.99°, γ = 75.99°
Last column: nearest neighbours and their distance in Å.
Fractional coordinates of all 18 atoms:
Br 0.2584 0.3510 0.9641  1 Au 2.50
Br 0.5751 0.6325 0.5849  1 Au 2.44
Br 0.2416 0.0359 0.6490  1 Au 2.50
Br 0.3686 0.0020 0.1866  2 Ho 2.82-2.83
Br 0.6314 0.9980 0.8134  2 Ho 2.82-2.83
Br 0.7584 0.9641 0.3510  1 Au 2.50
Br 0.7416 0.6490 0.0359  1 Au 2.50
Br 0.8686 0.1866 0.0020  2 Ho 2.82-2.83
Br 0.1314 0.8134 0.9980  2 Ho 2.82-2.83
Br 0.4249 0.3675 0.4151  1 Au 2.44
Br 0.0751 0.5849 0.6325  1 Au 2.44
Br 0.9249 0.4151 0.3675  1 Au 2.44
Ho 0.7500 0.9354 0.0646  6 Br 2.82-2.83
Ho 0.2500 0.0646 0.9354  6 Br 2.82-2.83
Au 0.7902 0.2141 0.3575  2 Br 2.44-2.50
Au 0.2098 0.7859 0.6425  2 Br 2.44-2.50
Au 0.2902 0.3575 0.2141  2 Br 2.44-2.50
Au 0.7098 0.6425 0.7859  2 Br 2.44-2.50

Properties
- Magnetic moment: 0.000 μB/atom
- Calculated total energy: -3.16 eV per atom
- Raw formation energy: -78.06 kJ/mol of atoms
- Space group: No. 15

12.
The following is a GGA-PBE calculation of a relaxed AgHg2GeSe4 crystal, from the Alexandria database.

a = 7.0668 Å, b = 7.5896 Å, c = 8.7351 Å
α = 90.00°, β = 90.00°, γ = 90.00°
Last column: nearest neighbours and their distance in Å.
Fractional coordinates of all 16 atoms:
Se 0.8551 0.8281 0.5000  1 Ge 2.54, 1 Ag 2.66, 2 Hg 2.73
Se 0.8769 0.8556 0.0000  1 Ge 2.56, 1 Ag 2.70, 2 Hg 2.72
Se 0.3880 0.6756 0.2532  1 Ge 2.56, 1 Ag 2.67, 2 Hg 2.72-2.74
Se 0.3769 0.1444 0.5000  1 Ge 2.56, 1 Ag 2.70, 2 Hg 2.72
Se 0.8880 0.3244 0.2468  1 Ge 2.56, 1 Ag 2.67, 2 Hg 2.72-2.74
Se 0.8880 0.3244 0.7532  1 Ge 2.56, 1 Ag 2.67, 2 Hg 2.72-2.74
Se 0.3880 0.6756 0.7468  1 Ge 2.56, 1 Ag 2.67, 2 Hg 2.72-2.74
Se 0.3551 0.1719 0.0000  1 Ge 2.54, 1 Ag 2.66, 2 Hg 2.73
Ge 0.4959 0.8260 0.5000  4 Se 2.54-2.56
Ge 0.9959 0.1740 0.0000  4 Se 2.54-2.56
Hg 0.0002 0.6678 0.7543  4 Se 2.72-2.74
Hg 0.5002 0.3322 0.2543  4 Se 2.72-2.74
Hg 0.0002 0.6678 0.2457  4 Se 2.72-2.74
Hg 0.5002 0.3322 0.7457  4 Se 2.72-2.74
Ag 0.9956 0.1539 0.5000  4 Se 2.66-2.70
Ag 0.4956 0.8461 0.0000  4 Se 2.66-2.70

Properties
- Magnetic moment: 0.000 μB/atom
- Calculated total energy: -2.90 eV per atom
- Raw formation energy: -14.55 kJ/mol of atoms
- Space group: No. 31